# NaHoErTl | Alexandria | GGA-PBE | optimized geometry
data_NaHoErTl
_chemical_formula_sum 'Na4 Ho4 Er4 Tl4'
_symmetry_space_group_name_H-M 'F -4 3 m'
_symmetry_Int_Tables_number 216
_symmetry_space_group_name_Hall 'F -4 2 3'
_cell_length_a 7.593
_cell_length_b 7.593
_cell_length_c 7.593
_cell_angle_alpha 90.00
_cell_angle_beta 90.00
_cell_angle_gamma 90.00
loop_
_atom_site_label
_atom_site_fract_x
_atom_site_fract_y
_atom_site_fract_z
_atom_site_occupancy
Na1 0.000 0.000 0.000 1
Ho1 0.250 0.250 0.750 1
Er1 0.250 0.250 0.250 1
Tl1 0.000 0.000 0.500 1
# energy of formation	-0.029	eV/atom
# spin magnetization	0.00	μB per formula unit
# crystal system	cubic
# DOS(E_F)	14.1	states/eV per cell

***

# NaLuPd2 | Alexandria | GGA-PBE | optimized geometry
data_NaLuPd2
_chemical_formula_sum 'Na4 Lu4 Pd8'
_symmetry_space_group_name_H-M 'F m -3 m'
_symmetry_Int_Tables_number 225
_symmetry_space_group_name_Hall '-F 4 2 3'
_cell_length_a 6.749
_cell_length_b 6.749
_cell_length_c 6.749
_cell_angle_alpha 90.00
_cell_angle_beta 90.00
_cell_angle_gamma 90.00
loop_
_atom_site_label
_atom_site_fract_x
_atom_site_fract_y
_atom_site_fract_z
_atom_site_occupancy
Na1 0.000 0.000 0.000 1
Lu1 0.000 0.000 0.500 1
Pd1 0.250 0.250 0.250 1
# energy of formation	-0.547	eV/atom
# spin magnetization	0.00	μB per formula unit
# crystal system	cubic
# offset from the most stable computed form	52.3	meV/atom
# DOS(E_F)	8.8	states/eV per cell